Computed, not measured: a relaxed structure of BaGaPH at the PBE level of DFT.

The structure in POSCAR format:
```
BaGaPH
1.0
4.365 0.000 0.000
-2.183 3.780 0.000
0.000 0.000 10.634
P Ga H Ba
2 2 2 2
Cartesian
0.000 2.520 2.256
2.183 1.260 7.573
0.000 0.000 1.862
0.000 0.000 7.179
0.000 0.000 5.452
0.000 0.000 0.135
0.000 2.520 9.702
2.183 1.260 4.385
```

Results
Calculated total energy ... -3.94 eV/atom
DOS at the Fermi energy ... 3.1 states/eV/cell
Volume ... 21.9 Å³/atom